First-principles (PBE) data for a geometry-optimized Ca2BRh structure, as listed in Alexandria via LeMat-Bulk.

Its total moment is 0.00 μB/f.u. The value obtained for the formation energy from the elements is -0.1828 eV per atom.

Cell and atoms, written as POSCAR:
```
Ca2BRh
1.0
-0.749 -3.266 -9.673
-6.669 -7.188 2.943
-5.202 -3.968 -3.674
Ca B Rh
4 2 2
Direct
0.436 0.125 0.250
0.314 0.625 0.250
0.375 0.564 0.750
0.875 0.686 0.750
0.500 0.500 0.000
0.250 0.750 0.500
0.000 0.000 0.000
0.750 0.250 0.500
```


First-principles (PBE) data for a geometry-optimized CsSr2Cu2 structure, as listed in Alexandria via LeMat-Bulk.

Its total moment is 0.00 μB/f.u. The value obtained for the formation energy from the elements is 0.2596 eV per atom.

Cell and atoms, written as POSCAR:
```
CsSr2Cu2
1.0
5.756 0.000 0.000
0.000 5.756 0.000
2.878 2.878 6.587
Cs Sr Cu
1 2 2
Direct
0.000 0.000 0.000
0.331 0.331 0.338
0.669 0.669 0.662
0.750 0.250 0.500
0.250 0.750 0.500
```


First-principles (PBE) data for a geometry-optimized TiSn3Hg structure, as listed in Alexandria via LeMat-Bulk.

Its total moment is 0.09 μB/f.u. The value obtained for the formation energy from the elements is 1.0135 eV per atom.

Cell and atoms, written as POSCAR:
```
TiSn3Hg
1.0
5.467 0.000 0.000
0.000 5.467 0.000
0.000 0.000 5.467
Ti Hg Sn
1 1 3
Direct
0.500 0.500 0.500
0.000 0.000 0.000
0.000 0.500 0.000
0.000 0.000 0.500
0.500 0.000 0.000
```


First-principles (PBE) data for a geometry-optimized TeRu2 structure, as listed in Alexandria via LeMat-Bulk.

Its raw formation energy is 68.63 kJ/mol of atoms. Its total moment is 0.00 μB/f.u.

Cell and atoms, written as POSCAR:
```
TeRu2
1.0
-4.057 0.542 4.616
2.287 -5.102 2.608
4.047 3.426 3.154
Ru Te
8 4
Direct
0.613 0.613 0.387
0.387 0.387 0.613
0.113 0.887 0.613
0.887 0.113 0.387
0.387 0.113 0.113
0.613 0.887 0.887
0.887 0.387 0.887
0.113 0.613 0.113
0.000 0.000 0.000
0.500 0.500 0.000
0.500 0.000 0.500
0.000 0.500 0.500
```


First-principles (PBE) data for a geometry-optimized SmInSn2Se5 structure, as listed in Alexandria via LeMat-Bulk.

Its raw formation energy is -80.51 kJ/mol of atoms. Its total moment is 0.00 μB/f.u.

Cell and atoms, written as POSCAR:
```
SmInSn2Se5
1.0
4.136 0.000 0.000
-2.068 9.621 0.000
0.000 0.000 13.523
Sm In Sn Se
2 2 4 10
Direct
0.805 0.611 0.519
0.195 0.389 0.019
0.544 0.088 0.930
0.456 0.912 0.430
0.868 0.737 0.825
0.152 0.304 0.663
0.132 0.263 0.325
0.848 0.696 0.163
0.345 0.690 0.018
0.676 0.353 0.868
0.465 0.931 0.776
0.297 0.594 0.674
0.962 0.924 0.550
0.655 0.310 0.518
0.324 0.647 0.368
0.535 0.069 0.276
0.703 0.406 0.174
0.038 0.076 0.050
```


First-principles (PBE) data for a geometry-optimized NaSnAsSe2 structure, as listed in Alexandria via LeMat-Bulk.

Its raw formation energy is 9.05 kJ/mol of atoms. Its total moment is 1.10 μB/f.u.

Cell and atoms, written as POSCAR:
```
NaSnAsSe2
1.0
-3.913 -0.953 3.668
-3.620 -0.620 -4.023
1.082 -5.141 -0.182
Na As Sn Se
1 1 1 2
Direct
0.500 0.500 0.500
0.000 0.000 0.500
0.000 0.000 0.000
0.000 0.500 0.000
0.500 0.000 0.000
```


First-principles (PBE) data for a geometry-optimized Nd4W3N10 structure, as listed in Alexandria via LeMat-Bulk.

Its raw formation energy is -90.17 kJ/mol of atoms. Its total moment is 0.00 μB/f.u.

Cell and atoms, written as POSCAR:
```
Nd4W3N10
1.0
0.196 -3.981 0.279
3.035 0.330 2.577
-10.836 2.130 9.393
Nd W N
4 3 10
Direct
0.568 0.568 0.136
0.432 0.432 0.864
0.298 0.298 0.596
0.702 0.702 0.404
0.143 0.143 0.286
0.857 0.857 0.714
0.000 0.000 0.000
0.140 0.640 0.281
0.070 0.070 0.141
0.640 0.140 0.281
0.860 0.360 0.719
0.360 0.860 0.719
0.930 0.930 0.859
0.213 0.213 0.427
0.787 0.787 0.573
0.000 0.500 0.000
0.500 0.000 0.000
```


First-principles (PBE) data for a geometry-optimized Li3LaBi structure, as listed in Alexandria via LeMat-Bulk.

Its total moment is 2.97 μB/f.u. The value obtained for the formation energy from the elements is 0.8659 eV per atom.

Cell and atoms, written as POSCAR:
```
Li3LaBi
1.0
-3.804 -3.280 1.901
3.732 -3.714 1.059
0.668 2.071 4.910
Li Bi La
3 1 1
Direct
0.000 0.500 0.000
0.000 0.000 0.500
0.500 0.000 0.000
0.500 0.500 0.500
0.000 0.000 0.000
```